Record 1
Below is Ca2Ga9Pt3 after structural relaxation, with properties calculated at the PBE-GGA level.

Total energy ... -4.178 eV/atom
Formation energy ... -0.652 eV/atom

```
Ca2Ga9Pt3
1.0
6.6748 -3.8443 0.0000
6.6748 3.8443 0.0000
-4.4639 0.0000 9.5813
Ca Ga Pt
4 18 6
direct
0.0840 0.2511 0.2501 Ca
0.2511 0.0840 0.7501 Ca
0.7489 0.9160 0.2499 Ca
0.9160 0.7489 0.7499 Ca
0.0235 0.8630 0.0809 Ga
0.1370 0.9765 0.4191 Ga
0.1904 0.3606 0.5810 Ga
0.2132 0.5813 0.2509 Ga
0.3062 0.4769 0.9294 Ga
0.3606 0.1904 0.0810 Ga
0.3767 0.6233 0.7500 Ga
0.4187 0.7868 0.2491 Ga
0.4769 0.3062 0.4294 Ga
0.5231 0.6938 0.5706 Ga
0.5813 0.2132 0.7509 Ga
0.6233 0.3767 0.2500 Ga
0.6394 0.8096 0.9190 Ga
0.6938 0.5231 0.0706 Ga
0.7868 0.4187 0.7491 Ga
0.8096 0.6394 0.4190 Ga
0.8630 0.0235 0.5809 Ga
0.9765 0.1370 0.9191 Ga
0.0000 0.5000 0.0000 Pt
0.1629 0.6691 0.4998 Pt
0.3309 0.8371 0.0002 Pt
0.5000 0.0000 0.5000 Pt
0.6691 0.1629 0.9998 Pt
0.8371 0.3309 0.5002 Pt
```



Record 2
Below is Ca2Ga2Pt after structural relaxation, with properties calculated at the PBE-GGA level.

ΔE to the lowest computed polymorph ... 0 meV per atom
Total energy ... -3.953 eV/atom
Formation energy ... -0.734 eV/atom

```
Ca2Ga2Pt
1.0
5.4232 -2.1860 0.0000
5.4232 2.1860 0.0000
-4.7939 0.0000 9.7258
Ca Ga Pt
4 4 2
direct
0.0000 0.0000 0.1686 Ca
0.0000 0.0000 0.8314 Ca
0.1939 0.1939 0.6152 Ca
0.8061 0.8061 0.3848 Ca
0.3368 0.3368 0.9436 Ga
0.4863 0.4863 0.6141 Ga
0.5137 0.5137 0.3859 Ga
0.6632 0.6632 0.0564 Ga
0.2841 0.2841 0.1629 Pt
0.7159 0.7159 0.8371 Pt
```



Record 3
Below is CaGaPt after structural relaxation, with properties calculated at the PBE-GGA level.

Total energy ... -4.621 eV/atom
Formation energy ... -0.931 eV/atom

```
CaGaPt
1.0
7.1464 0.0000 0.0000
0.0000 4.4025 0.0000
0.0000 0.0000 7.7380
Ca Ga Pt
4 4 4
direct
0.0164 0.2500 0.1860 Ca
0.4836 0.7500 0.6860 Ca
0.5164 0.2500 0.3140 Ca
0.9836 0.7500 0.8140 Ca
0.1596 0.2500 0.5715 Ga
0.3404 0.7500 0.0715 Ga
0.6596 0.2500 0.9285 Ga
0.8404 0.7500 0.4285 Ga
0.2114 0.7500 0.3907 Pt
0.2886 0.2500 0.8907 Pt
0.7114 0.7500 0.1093 Pt
0.7886 0.2500 0.6093 Pt
```